Density functional theory data (GGA-PBE) for an optimized crystal structure of Hf2Zr2S7.

Lattice parameters (Å, degrees): 3.591 13.651 8.048 90.00 90.00 90.00
Space group Imm2 (No. 44)
Unique sites:
1 Hf 0.000 0.236 0.000 (multiplicity 4)
2 Zr 0.000 0.000 0.771 (multiplicity 2)
3 Zr 0.000 0.500 0.829 (multiplicity 2)
4 S 0.000 0.000 0.088 (multiplicity 2)
5 S 0.000 0.111 0.499 (multiplicity 4)
6 S 0.000 0.319 0.705 (multiplicity 4)
7 S 0.000 0.354 0.308 (multiplicity 4)

Its magnetization is 0.0 μB per cell. As for the raw formation energy: -16.0 eV/f.u. The uncorrected energy is -7.44 eV/atom.